1.
{
  "formula": "Ti2Hg2Te",
  "functional": "PBE",
  "state": "relaxed",
  "lattice": [[7.0319, 0.0000, 0.0000], [0.0000, 7.0319, 0.0000], [0.0000, 0.0000, 4.3600]],
  "species": ["Ti", "Ti", "Ti", "Ti", "Hg", "Hg", "Hg", "Hg", "Te", "Te"],
  "fractional_positions": [[0.1465, 0.3535, 0.0000], [0.3535, 0.8535, 0.0000], [0.6465, 0.1465, 0.0000], [0.8535, 0.6465, 0.0000], [0.1520, 0.6520, 0.5000], [0.3480, 0.1520, 0.5000], [0.6520, 0.8480, 0.5000], [0.8480, 0.3480, 0.5000], [0.0000, 0.0000, 0.0000], [0.5000, 0.5000, 0.0000]],
  "raw_formation_energy_mev_per_atom": -109
}

---

2.
{
  "formula": "TiHgTe",
  "functional": "PBE",
  "state": "relaxed",
  "lattice": [[3.7755, 0.0000, 0.0000], [0.0000, 4.6237, 0.0000], [0.0000, 0.0000, 10.1296]],
  "species": ["Ti", "Ti", "Hg", "Hg", "Te", "Te"],
  "fractional_positions": [[0.2500, 0.2500, 0.0316], [0.7500, 0.7500, 0.9684], [0.2500, 0.7500, 0.5759], [0.7500, 0.2500, 0.4241], [0.2500, 0.7500, 0.1698], [0.7500, 0.2500, 0.8302]],
  "polymorph_energy_ev_per_atom": 0.071,
  "raw_formation_energy_mev_per_atom": -294
}

---

3.
{
  "formula": "TiHgTe",
  "functional": "PBE",
  "state": "relaxed",
  "lattice": [[1.8040, 1.0415, 6.7314], [-1.8040, 1.0415, 6.7314], [0.0000, -2.0830, 6.7314]],
  "species": ["Ti", "Hg", "Te"],
  "fractional_positions": [[0.0000, 0.0000, 0.0000], [0.5682, 0.5682, 0.5682], [0.4193, 0.4193, 0.4193]],
  "polymorph_energy_ev_per_atom": 0.133,
  "raw_formation_energy_mev_per_atom": -232
}

---

4.
{
  "formula": "TiHgTe3",
  "functional": "PBE",
  "state": "relaxed",
  "lattice": [[5.3716, 0.0000, 0.0000], [0.0000, 5.3716, 0.0000], [0.0000, 0.0000, 5.3716]],
  "species": ["Ti", "Hg", "Te", "Te", "Te"],
  "fractional_positions": [[0.0000, 0.0000, 0.0000], [0.5000, 0.5000, 0.5000], [0.0000, 0.0000, 0.5000], [0.0000, 0.5000, 0.0000], [0.5000, 0.0000, 0.0000]],
  "polymorph_energy_ev_per_atom": 0.000,
  "raw_formation_energy_mev_per_atom": -106
}

---

5.
{
  "formula": "TiHgTe3",
  "functional": "PBE",
  "state": "relaxed",
  "lattice": [[5.5296, 0.0000, 0.0000], [0.0000, 5.5296, 0.0000], [0.0000, 0.0000, 5.5296]],
  "species": ["Ti", "Hg", "Te", "Te", "Te"],
  "fractional_positions": [[0.0000, 0.0000, 0.0000], [0.5000, 0.5000, 0.5000], [0.0000, 0.5000, 0.5000], [0.5000, 0.0000, 0.5000], [0.5000, 0.5000, 0.0000]],
  "polymorph_energy_ev_per_atom": 1.011,
  "raw_formation_energy_mev_per_atom": 905
}

---

6.
{
  "formula": "TiHgTe",
  "functional": "PBE",
  "state": "relaxed",
  "lattice": [[3.6810, 0.0000, 0.0000], [-1.8405, 3.1878, 0.0000], [0.0000, 0.0000, 12.7160]],
  "species": ["Ti", "Ti", "Hg", "Hg", "Te", "Te"],
  "fractional_positions": [[0.0000, 0.0000, 0.0000], [0.3333, 0.6667, 0.5000], [0.0000, 0.0000, 0.3462], [0.0000, 0.0000, 0.6538], [0.3333, 0.6667, 0.1404], [0.3333, 0.6667, 0.8596]],
  "polymorph_energy_ev_per_atom": 0.233,
  "raw_formation_energy_mev_per_atom": -132
}

---

7.
{
  "formula": "TiHgTe4",
  "functional": "PBE",
  "state": "relaxed",
  "lattice": [[4.4067, -6.5184, 0.0000], [4.4067, 6.5184, 0.0000], [-2.5715, 0.0000, 6.5499]],
  "species": ["Ti", "Ti", "Hg", "Hg", "Te", "Te", "Te", "Te", "Te", "Te", "Te", "Te"],
  "fractional_positions": [[0.0015, 0.9985, 0.7500], [0.9985, 0.0015, 0.2500], [0.3981, 0.6019, 0.7500], [0.6019, 0.3981, 0.2500], [0.1040, 0.7603, 0.4694], [0.1576, 0.3262, 0.1105], [0.2397, 0.8960, 0.0306], [0.3262, 0.1576, 0.6105], [0.6738, 0.8424, 0.3895], [0.7603, 0.1040, 0.9694], [0.8424, 0.6738, 0.8895], [0.8960, 0.2397, 0.5306]],
  "raw_formation_energy_mev_per_atom": -296
}

---

8.
{
  "formula": "TiHgTe",
  "functional": "PBE",
  "state": "relaxed",
  "lattice": [[4.6471, -1.7615, 0.0000], [4.6471, 1.7615, 0.0000], [-4.1721, 0.0000, 9.6844]],
  "species": ["Ti", "Ti", "Hg", "Hg", "Te", "Te"],
  "fractional_positions": [[0.1677, 0.1677, 0.0651], [0.8323, 0.8323, 0.9349], [0.3192, 0.3192, 0.4058], [0.6808, 0.6808, 0.5942], [0.4895, 0.4895, 0.1589], [0.5105, 0.5105, 0.8411]],
  "polymorph_energy_ev_per_atom": 0.020,
  "raw_formation_energy_mev_per_atom": -345
}

---

9.
{
  "formula": "TiHgTe",
  "functional": "PBE",
  "state": "relaxed",
  "lattice": [[5.2452, 0.0000, 0.0000], [0.0000, 3.8137, 0.0000], [-2.6107, 0.0000, 7.9292]],
  "species": ["Ti", "Ti", "Hg", "Hg", "Te", "Te"],
  "fractional_positions": [[0.2116, 0.2500, 0.4226], [0.7884, 0.7500, 0.5774], [0.0738, 0.7500, 0.1448], [0.9262, 0.2500, 0.8552], [0.3369, 0.7500, 0.6751], [0.6631, 0.2500, 0.3249]],
  "polymorph_energy_ev_per_atom": 0.000,
  "raw_formation_energy_mev_per_atom": -365
}

---

10.
{
  "formula": "Ti3HgTe",
  "functional": "PBE",
  "state": "relaxed",
  "lattice": [[4.9951, 0.0000, 0.0000], [0.0000, 4.9951, 0.0000], [0.0000, 0.0000, 4.9951]],
  "species": ["Ti", "Ti", "Ti", "Hg", "Te"],
  "fractional_positions": [[0.0000, 0.0000, 0.5000], [0.0000, 0.5000, 0.0000], [0.5000, 0.0000, 0.0000], [0.5000, 0.5000, 0.5000], [0.0000, 0.0000, 0.0000]],
  "polymorph_energy_ev_per_atom": 0.000,
  "raw_formation_energy_mev_per_atom": 654
}

---

11.
{
  "formula": "TiHgTe2",
  "functional": "PBE",
  "state": "relaxed",
  "lattice": [[1.8666, 1.0777, 11.0259], [-1.8666, 1.0777, 11.0259], [0.0000, -2.1554, 11.0259]],
  "species": ["Ti", "Hg", "Te", "Te"],
  "fractional_positions": [[0.0000, 0.0000, 0.0000], [0.5000, 0.5000, 0.5000], [0.3862, 0.3862, 0.3862], [0.6138, 0.6138, 0.6138]],
  "raw_formation_energy_mev_per_atom": -504
}

---

12.
{
  "formula": "TiHg2Te",
  "functional": "PBE",
  "state": "relaxed",
  "lattice": [[-4.2550, 4.2550, 2.8129], [4.2550, -4.2550, 2.8129], [4.2550, 4.2550, -2.8129]],
  "species": ["Ti", "Ti", "Hg", "Hg", "Hg", "Hg", "Te", "Te"],
  "fractional_positions": [[0.0000, 0.0000, 0.0000], [0.7500, 0.2500, 0.5000], [0.0904, 0.6250, 0.9654], [0.3750, 0.3404, 0.4654], [0.6596, 0.1250, 0.0346], [0.8750, 0.9096, 0.5346], [0.2500, 0.7500, 0.5000], [0.5000, 0.5000, 0.0000]],
  "raw_formation_energy_mev_per_atom": 100
}